Entry from the Alexandria database: an optimized crystal structure of Sr2Tl3Pd (PBE).

Computed properties:
- polymorph energy (0 for the lowest one) (meV/atom) = 24
- volume (Å³/cell) = 179.5
- M_tot (μB/f.u.) = 0.0
- energy relative to the elements (eV/atom) = -0.41

Cell: 4.0042 5.0475 8.8812 Å, 90.00 90.00 90.00°
Sites, in units of the cell vectors:
Sr 0.0000 0.5000 0.0312
Sr 0.0000 0.0000 0.4822
Tl 0.5000 0.0000 0.8347
Tl 0.5000 0.0000 0.1796
Tl 0.5000 0.5000 0.6467
Pd 0.5000 0.5000 0.3256

***

Entry from the Alexandria database: an optimized crystal structure of BaAlAg (PBE).

Computed properties:
- volume (Å³/cell) = 354.0
- M_tot (μB/f.u.) = 0.0
- energy relative to the elements (eV/atom) = -0.22

Cell: 6.7314 6.9075 8.0970 Å, 90.00 109.91 90.00°
Sites, in units of the cell vectors:
Ba 0.3165 0.8606 0.1151
Ba 0.8165 0.6394 0.6151
Ba 0.6835 0.1394 0.8849
Ba 0.1835 0.3606 0.3849
Al 0.1929 0.3699 0.9399
Al 0.8071 0.6301 0.0601
Al 0.3071 0.8699 0.5601
Al 0.6929 0.1301 0.4399
Ag 0.5778 0.3944 0.1902
Ag 0.4222 0.6056 0.8098
Ag 0.0778 0.1056 0.6902
Ag 0.9222 0.8944 0.3098

***

Question: Look up the M_tot of the first one.
Answer: 0.0 μB/f.u.